(1)
# Re2SbAu

Re2SbAu after structural relaxation (PBE-GGA, Alexandria).

Lattice parameters (Å, degrees): 6.1437 6.1437 6.1437 153.07 134.86 53.35
Atoms (fractional coordinates):
Re 0.0000 0.0000 0.0000
Re 0.8086 0.3086 0.5000
Sb 0.2289 0.7289 0.5000
Au 0.5347 0.5347 0.0000

## Properties
The calculation puts the energy relative to the elements, uncorrected at 2.5 eV/f.u. The total magnetic moment is 0.000 Bohr magnetons per cell. The calculation puts the volume at 18.52 Å³/atom. The space-group type is Imm2, No. 44.

=====

(2)
# ZrAuF

ZrAuF after structural relaxation (PBE-GGA, Alexandria).

Lattice parameters (Å, degrees): 3.4964 3.4964 7.7501 90.00 90.00 90.00
Atoms (fractional coordinates):
Zr 0.2500 0.2500 0.2082
Zr 0.7500 0.7500 0.7918
Au 0.2500 0.2500 0.6026
Au 0.7500 0.7500 0.3974
F 0.2500 0.7500 0.0000
F 0.7500 0.2500 0.0000

## Properties
The calculation puts the energy relative to the elements, uncorrected at -5.2 eV/f.u. The total magnetic moment is 0.000 Bohr magnetons per cell. The calculation puts the volume at 15.79 Å³/atom. The space-group type is P4/nmm, No. 129.

=====

(3)
# AcSm3Pb2

AcSm3Pb2 after structural relaxation (PBE-GGA, Alexandria).

Lattice parameters (Å, degrees): 9.8153 9.8153 9.7595 113.04 113.04 28.54
Atoms (fractional coordinates):
Ac 0.1160 0.1160 0.1402
Ac 0.8840 0.8840 0.8598
Sm 0.0587 0.0587 0.6881
Sm 0.3068 0.3068 0.1131
Sm 0.3568 0.3568 0.5163
Sm 0.6432 0.6432 0.4837
Sm 0.6932 0.6932 0.8869
Sm 0.9413 0.9413 0.3119
Pb 0.2394 0.2394 0.7038
Pb 0.4883 0.4883 0.1544
Pb 0.5117 0.5117 0.8456
Pb 0.7606 0.7606 0.2962

## Properties
The total magnetic moment is 0.019 Bohr magnetons per cell. The calculation puts the volume at 34.25 Å³/atom. The space-group type is C2/m, No. 12. The calculation puts the formation energy at -358 meV/atom.